Entry from Alexandria: an optimized crystal structure of Bi4Ir6O19 (PBE-GGA).

Summary:
The calculation puts the calculated density at 10.0 g/cm³. As for the total energy: -0.238 Ha/atom. As for the uncorrected formation energy: -0.849 eV/atom.

abc: 9.1172 9.1172 9.1172
angles: 90.00 90.00 90.00
With the nearest neighbours (Å) after each atom.
Space group I23 (No. 197)
Unique sites:
Bi: 0.1515 0.1515 0.8485 x8  7 O 2.39-2.54
Ir: 0.0000 0.3468 0.5000 x12  6 O 1.94-2.09
O: 0.0000 0.0000 0.0000 x2  4 Bi 2.39
O: 0.0000 0.0000 0.3294 x12  2 Ir 2.09
O: 0.0038 0.3321 0.2846 x24  2 Ir 1.94-1.97